No. 1
HfAlGe2: relaxed, PBE.

Unit cell a=3.993 b=3.993 c=6.126 alpha=70.98 beta=70.98 gamma=60.00
Sites, in units of the cell vectors:
Ge (0.090, 0.090, 0.731)
Ge (0.248, 0.248, 0.257)
Al (0.495, 0.495, 0.516)
Hf (0.668, 0.668, 0.996)

Output
space group: R3m, No. 160
electronic total energy: -5.895 eV per atom
M_tot: 0.00 μB per formula unit
theoretical density: 7.43 Mg/m³

No. 2
HfAlGe2: relaxed, PBE.

Unit cell a=3.735 b=4.374 c=4.374 alpha=90.00 beta=90.00 gamma=90.00
Sites, in units of the cell vectors:
Al (0.500, 0.000, 0.000)
Ge (0.000, 0.000, 0.500)
Ge (0.000, 0.500, 0.000)
Hf (0.500, 0.500, 0.500)

Output
space group: P4/mmm, No. 123
electronic total energy: -5.928 eV per atom
M_tot: 0.00 μB per formula unit
theoretical density: 8.15 Mg/m³